(1)
Material: MgCoIr2
Method: DFT, PBE
State: optimized geometry

Unit cell a=2.866 b=4.347 c=4.572 alpha=90.00 beta=90.00 gamma=90.00
Space group Pmmm (No. 47)
Symmetry-distinct sites (fractional):
Mg: 0.000 0.000 0.000
Co: 0.500 0.000 0.500
Ir: 0.000 0.500 0.500
Ir: 0.500 0.500 0.000

total moment: 2.19 μB/f.u.
final energy: -6.608 eV/atom
Fermi-level density of states: 4.4 states/eV/cell

=====

(2)
Material: K2TlSiMo
Method: DFT, PBE
State: optimized geometry

Unit cell a=6.674 b=6.674 c=5.094 alpha=90.00 beta=90.00 gamma=90.00
Space group P4/mmm (No. 123)
Symmetry-distinct sites (fractional):
K: 0.000 0.500 0.000
Tl: 0.000 0.000 0.000
Si: 0.000 0.000 0.500
Mo: 0.500 0.500 0.500

total moment: 5.54 μB/f.u.
E_form (uncorrected): 1.33 eV/atom
Fermi-level density of states: 2.1 states/eV/cell

=====

(3)
Material: MgTl9In2
Method: DFT, PBE
State: optimized geometry

Unit cell a=4.659 b=4.659 c=16.142 alpha=90.00 beta=90.00 gamma=90.00
Space group P4/mmm (No. 123)
Symmetry-distinct sites (fractional):
Mg: 0.000 0.000 0.000
Tl: 0.000 0.500 0.162
Tl: 0.000 0.500 0.500
Tl: 0.500 0.500 0.000
Tl: 0.500 0.500 0.332
In: 0.000 0.000 0.329

total moment: 0.00 μB/f.u.
final energy: -2.331 eV/atom
Fermi-level density of states: 6.2 states/eV/cell

=====

(4)
Material: Pm13Pr2
Method: DFT, PBE
State: optimized geometry

Unit cell a=6.790 b=9.159 c=9.161 alpha=66.51 beta=82.36 gamma=82.32
Space group P-1 (No. 2)
Symmetry-distinct sites (fractional):
Pm: 0.000 0.000 0.000
Pm: 0.099 0.433 0.767
Pm: 0.202 0.202 0.197
Pm: 0.299 0.969 0.631
Pm: 0.301 0.635 0.965
Pm: 0.401 0.401 0.398
Pm: 0.499 0.166 0.833
Pr: 0.102 0.767 0.433

total moment: 0.00 μB/f.u.
final energy: -4.698 eV/atom
Fermi-level density of states: 23.1 states/eV/cell

=====

(5)
Material: ScMn2Ni
Method: DFT, PBE
State: optimized geometry

Unit cell a=7.000 b=7.000 c=5.254 alpha=90.00 beta=90.00 gamma=90.00
Space group I-42d (No. 122)
Symmetry-distinct sites (fractional):
Sc: 0.000 0.000 0.000
Mn: 0.200 0.250 0.625
Ni: 0.000 0.000 0.500

total moment: 6.90 μB/f.u.
final energy: -7.376 eV/atom
Fermi-level density of states: 7.0 states/eV/cell

=====

(6)
Material: Pu2SbCl
Method: DFT, PBE
State: optimized geometry

Unit cell a=7.437 b=7.437 c=7.437 alpha=90.00 beta=90.00 gamma=90.00
Space group Fm-3m (No. 225)
Symmetry-distinct sites (fractional):
Pu: 0.250 0.250 0.250
Sb: 0.000 0.000 0.000
Cl: 0.000 0.000 0.500

energy above the lowest structure with this stoichiometry: 0.054 eV per atom
total moment: 12.00 μB/f.u.
E_form (uncorrected): -0.86 eV/atom
Fermi-level density of states: 63.6 states/eV/cell